No. 1
{"formula": "Ce2AsI2", "functional": "PBE", "state": "relaxed", "vol_a3_per_atom": 37.86, "crystal_system": "monoclinic", "e_tot_ha_per_atom": -0.195, "raw_formation_energy_ev_per_atom": -1.384, "sg": "C2/m, No. 12", "cell": [[-0.4788, 3.7182, -2.1089], [-3.9346, 1.3924, -1.0383], [-1.9023, 7.4887, 9.2485]], "species": ["Ce", "Ce", "As", "I", "I"], "fractional_positions": [[0.7171, 0.2030, 0.3628], [0.2829, 0.7970, 0.6372], [0.0000, 0.5000, 0.5000], [0.4485, 0.9161, 0.1869], [0.5515, 0.0839, 0.8131]]}

---

No. 2
{"formula": "Ce2AsI2", "functional": "PBE", "state": "relaxed", "vol_a3_per_atom": 35.53, "crystal_system": "orthorhombic", "e_tot_ha_per_atom": -0.184, "raw_formation_energy_ev_per_atom": -1.073, "sg": "Cmc2_1, No. 36", "cell": [[4.1358, 0.0000, 0.0000], [-2.0679, 7.4417, 0.0000], [0.0000, 0.0000, 11.5457]], "species": ["Ce", "Ce", "Ce", "Ce", "As", "As", "I", "I", "I", "I"], "fractional_positions": [[0.2222, 0.4444, 0.1233], [0.0188, 0.0375, 0.9005], [0.7778, 0.5556, 0.6233], [0.9812, 0.9625, 0.4005], [0.6332, 0.2665, 0.9881], [0.3668, 0.7335, 0.4881], [0.8972, 0.7943, 0.1399], [0.3500, 0.6999, 0.8336], [0.1028, 0.2057, 0.6399], [0.6500, 0.3001, 0.3336]]}

---

No. 3
{"formula": "Ce2AsI", "functional": "PBE", "state": "relaxed", "vol_a3_per_atom": 30.02, "crystal_system": "trigonal", "e_tot_ha_per_atom": -0.209, "raw_formation_energy_ev_per_atom": -1.165, "sg": "R3m, No. 160", "cell": [[-0.1847, -0.8908, -4.0877], [3.0863, -2.1758, -1.8104], [-2.8228, -7.7633, -0.3257]], "species": ["Ce", "Ce", "As", "I"], "fractional_positions": [[0.0693, 0.0693, 0.7920], [0.2644, 0.2644, 0.2068], [0.6676, 0.6676, 0.9973], [0.4987, 0.4987, 0.5039]]}

---

No. 4
{"formula": "Ce2AsI", "functional": "PBE", "state": "relaxed", "vol_a3_per_atom": 29.28, "crystal_system": "tetragonal", "e_tot_ha_per_atom": -0.207, "raw_formation_energy_ev_per_atom": -1.103, "sg": "I4_1/amd, No. 141", "cell": [[-2.8471, 2.7813, -4.7030], [3.6890, -2.9334, -3.9680], [-8.0686, -9.3163, -0.6251]], "species": ["Ce", "Ce", "Ce", "Ce", "Ce", "Ce", "Ce", "Ce", "As", "As", "As", "As", "I", "I", "I", "I"], "fractional_positions": [[0.7499, 0.9999, 0.8883], [0.2501, 0.0001, 0.1117], [0.7499, 0.5001, 0.6117], [0.2501, 0.4999, 0.3883], [0.7504, 0.5001, 0.1380], [0.2496, 0.4999, 0.8620], [0.7504, 0.9999, 0.3620], [0.2496, 0.0001, 0.6380], [0.2499, 0.5001, 0.6251], [0.7501, 0.4999, 0.3749], [0.2499, 0.9999, 0.8749], [0.7501, 0.0001, 0.1251], [0.2504, 0.9999, 0.3748], [0.7496, 0.0001, 0.6252], [0.2504, 0.5001, 0.1252], [0.7496, 0.4999, 0.8748]]}